# 1
Here is an optimized crystal structure of BaSi from the Alexandria database. Energies are from GGA-PBE.

Geometry as POSCAR:
```
BaSi
1.0
-5.1688 1.2983 -1.6864
-4.2127 0.0339 3.6740
-2.3130 4.8453 1.5555
Ba Si
2 2
Cartesian
-2.9237 1.5444 0.8858 Ba
0.0000 0.0000 0.0000 Ba
-5.8473 3.0888 1.7715 Si
-8.7710 4.6331 2.6573 Si
```

The value obtained for the formation energy (no corrections) is 0.333 eV/atom. The calculation puts the uncorrected energy at -3.34 eV/atom. The spin magnetization comes out at 0.00 μB/f.u. The space-group type is Fd-3m, No. 227.

=====

# 2
Here is an optimized crystal structure of NdSc5Pd6 from the Alexandria database. Energies are from GGA-PBE.

Geometry as POSCAR:
```
NdSc5Pd6
1.0
-2.1089 -1.8545 3.8872
-4.2856 -3.2206 -3.8615
5.5499 -4.7408 -2.2055
Sc Pd Nd
5 6 1
Cartesian
-2.1428 -1.6103 -1.9307 Sc
0.8618 -5.3996 -2.1049 Sc
2.9648 -3.7398 -0.1714 Sc
-1.7063 -4.4163 -0.0749 Sc
0.4762 -2.8555 1.8531 Sc
0.7544 -5.4320 0.7830 Pd
-1.3245 -6.9943 -1.0902 Pd
1.3701 -8.0167 -3.0779 Pd
0.4800 -2.8216 -1.0896 Pd
-1.5989 -4.3839 -2.9628 Pd
-2.2147 -1.7992 0.8982 Pd
0.0000 0.0000 0.0000 Nd
```

The calculation puts the uncorrected energy at -6.48 eV/atom. The spin magnetization comes out at 0.00 μB/f.u. The space-group type is Cmmm, No. 65.

=====

# 3
Here is an optimized crystal structure of Na3H4Br3O2 from the Alexandria database. Energies are from GGA-PBE.

Geometry as POSCAR:
```
Na3H4Br3O2
1.0
-4.7302 -1.7825 2.3620
2.6292 -1.3217 4.2680
-0.3377 9.7210 0.0698
Na H Br O
3 4 3 2
Cartesian
-4.6233 -1.7422 2.3086 Na
1.0036 1.9481 3.1335 Na
-3.1935 4.7625 3.4421 Na
-2.1590 3.6116 5.5969 H
1.3406 5.7264 4.0959 H
-1.6902 1.6776 1.5607 H
-0.7140 2.8415 1.3197 H
-0.6974 4.8968 1.9460 Br
-2.4495 -2.0793 4.0136 Br
-1.4880 1.8155 4.6274 Br
-2.5872 4.3725 6.0963 O
-0.8475 1.8689 1.1008 O
```

The calculation puts the uncorrected energy at -3.91 eV/atom. The spin magnetization comes out at 0.00 μB/f.u. The space-group type is Imm2, No. 44.

=====

# 4
Here is an optimized crystal structure of Sr5BiS8 from the Alexandria database. Energies are from GGA-PBE.

Geometry as POSCAR:
```
Sr5BiS8
1.0
7.7220 -0.0817 0.1405
-2.6898 7.2389 -0.1405
-2.3425 -3.7006 6.3619
Bi Sr S
1 5 8
Cartesian
-1.1713 0.8235 4.7363 Bi
2.6898 -1.8912 3.2512 Sr
3.7963 5.3193 1.5765 Sr
2.6734 2.1372 3.9850 Sr
0.2211 -2.7963 6.3901 Sr
-1.3112 2.2528 0.7722 Sr
0.5298 0.4847 2.4735 S
-1.0684 5.2417 -0.0138 S
1.8144 -0.2838 5.6289 S
1.4630 3.3271 1.4434 S
0.2618 3.1464 5.5604 S
4.4986 0.3139 2.3191 S
5.6564 -1.9598 4.7038 S
-2.3964 3.5557 3.3325 S
```

The value obtained for the formation energy (no corrections) is -1.347 eV/atom. The calculation puts the uncorrected energy at -4.58 eV/atom. The spin magnetization comes out at 2.54 μB/f.u. The space-group type is I-4, No. 82.